[1]
The following is a meta-GGA SCAN calculation of a PBEsol-optimized structure of HgMo3I, from Alexandria.

POSCAR file:
```
HgMo3I
1.0
4.976 0.000 0.000
0.000 4.976 0.000
0.000 0.000 4.976
Hg Mo I
1 3 1
Direct
0.000 0.000 0.000 Hg
0.000 0.000 0.500 Mo
0.000 0.500 0.000 Mo
0.500 0.000 0.000 Mo
0.500 0.500 0.500 I
```

Output
E   -39.437 eV per atom
ΔE_f (raw)   2476.0 meV per atom
Space-group type   Pm-3m

=====

[2]
The following is a meta-GGA SCAN calculation of a PBEsol-optimized structure of CdCoSb3, from Alexandria.

POSCAR file:
```
CdCoSb3
1.0
4.927 0.000 0.000
0.000 4.927 0.000
0.000 0.000 4.927
Cd Co Sb
1 1 3
Direct
0.000 0.000 0.000 Cd
0.500 0.500 0.500 Co
0.000 0.500 0.500 Sb
0.500 0.000 0.500 Sb
0.500 0.500 0.000 Sb
```

Output
E   -31.484 eV per atom
ΔE_f (raw)   416.2 meV per atom
Space-group type   Pm-3m

=====

[3]
The following is a meta-GGA SCAN calculation of a PBEsol-optimized structure of FeTeSe2, from Alexandria.

POSCAR file:
```
FeTeSe2
1.0
2.930 0.000 0.000
0.000 2.930 0.000
0.000 0.000 9.508
Fe Te Se
1 1 2
Direct
0.000 0.000 0.000 Fe
0.000 0.000 0.500 Te
0.500 0.500 0.157 Se
0.500 0.500 0.843 Se
```

Output
E   -23.749 eV per atom
ΔE_f (raw)   135.5 meV per atom
Space-group type   P4/mmm

=====

[4]
The following is a meta-GGA SCAN calculation of a PBEsol-optimized structure of MgSe2Br, from Alexandria.

POSCAR file:
```
MgSe2Br
1.0
2.050 1.183 6.470
-2.050 1.183 6.470
0.000 -2.367 6.470
Mg Se Br
1 2 1
Direct
0.000 0.000 0.000 Mg
0.270 0.270 0.270 Se
0.730 0.730 0.730 Se
0.500 0.500 0.500 Br
```

Output
E   -16.393 eV per atom
ΔE_f (raw)   -245.7 meV per atom
Space-group type   R-3m